PSeCl2 | Alexandria | GGA-PBEsol | optimized geometry; symmetry = R-3m (166); excess energy over the best structure of this formula in the dataset = 21 meV/atom
1.0
3.1015 0.0000 0.0000
1.5508 2.6860 0.0000
1.5508 0.8953 9.3656
Cl P Se
2 1 1
Cartesian
1.5508 0.8953 2.8654
4.6523 2.6860 6.5002
3.1015 1.7907 4.6828
0.0000 0.0000 0.0000



PSeCl7 | Alexandria | GGA-PBEsol | optimized geometry; symmetry = P1 (1)
1.0
-6.1847 4.6142 1.6013
1.1505 -2.0740 7.0492
8.4136 5.6409 0.0816
Cl P Se
14 2 2
Cartesian
1.3174 0.0687 6.6332
-2.6900 3.1067 5.6526
-1.3200 3.8861 1.7153
6.5997 5.4119 7.1730
-4.7786 3.7842 3.1969
2.6145 7.7191 5.9410
-0.7452 0.5137 3.7506
-1.1210 6.5570 4.6011
1.7731 5.9111 2.3721
1.9517 2.4593 3.3510
4.0775 4.3168 4.7878
1.1583 4.5133 6.6990
6.3622 4.1610 0.5461
4.6859 0.6032 6.9459
-0.4325 1.2314 6.7513
3.6707 3.5394 2.9399
-4.8502 3.9600 5.3570
-0.3977 6.7010 1.8027



PSeCl3 | Alexandria | GGA-PBEsol | optimized geometry; symmetry = Pm-3m (221)
1.0
4.7721 0.0000 0.0000
0.0000 4.7721 0.0000
0.0000 0.0000 4.7721
P Se Cl
1 1 3
Cartesian
0.0000 0.0000 0.0000
2.3861 2.3861 2.3861
0.0000 2.3861 0.0000
0.0000 0.0000 2.3861
2.3861 0.0000 0.0000



PSe2Cl | Alexandria | GGA-PBEsol | optimized geometry; symmetry = P4/mmm (123); excess energy over the best structure of this formula in the dataset = 546 meV/atom
1.0
3.3129 0.0000 0.0000
0.0000 4.6542 0.0000
0.0000 0.0000 4.6542
P Se Cl
1 2 1
Cartesian
1.6565 0.0000 0.0000
0.0000 0.0000 2.3271
0.0000 2.3271 0.0000
1.6565 2.3271 2.3271



P2SeCl | Alexandria | GGA-PBEsol | optimized geometry; symmetry = C2/m (12); excess energy over the best structure of this formula in the dataset = 112 meV/atom
1.0
3.1806 0.0000 0.0000
1.5903 4.6360 -0.0294
1.5903 0.8820 5.9000
P Se Cl
2 1 1
Cartesian
3.1806 4.9621 3.7234
3.1806 0.5559 2.1472
1.5903 2.7590 2.9353
1.5903 0.0000 0.0000



P2SeCl | Alexandria | GGA-PBEsol | optimized geometry; symmetry = R3m (160); excess energy over the best structure of this formula in the dataset = 0 meV/atom
1.0
3.4384 0.0000 0.0000
1.7192 2.9777 0.0000
1.7192 0.9926 7.1121
P Se Cl
2 1 1
Cartesian
1.7192 0.9926 6.7695
5.1576 2.9777 5.5772
3.4384 1.9852 3.9942
1.7192 0.9926 1.4393



PSe2Cl | Alexandria | GGA-PBEsol | optimized geometry; symmetry = Cmmm (65); excess energy over the best structure of this formula in the dataset = 309 meV/atom
1.0
2.5389 0.0000 0.0000
0.0000 5.1129 0.0000
0.0000 -2.5566 7.0573
P Se Cl
1 2 1
Cartesian
1.2694 2.5564 0.0000
0.0000 -1.2783 3.5286
0.0000 1.2782 3.5286
1.2694 0.0000 0.0000



TePSeCl2 | Alexandria | GGA-PBEsol | optimized geometry; symmetry = P4/mmm (123)
1.0
-2.0746 -2.6317 3.3502
4.2076 -1.8498 1.1524
0.7357 3.8332 3.4666
P Te Se Cl
1 1 1 2
Cartesian
0.3679 1.9166 1.7333
1.4344 -0.3241 3.9846
0.0000 0.0000 0.0000
2.1038 -0.9249 0.5762
-1.0373 -1.3158 1.6751



Taking the records one at a time from the top gives raw formation energy values of 168; -386; 104; 249; 84; 40; 158; 209 kJ/mol of formula units.